No. 1
Sr7AsN2 | PBE | optimized geometry

The electronic total energy comes out at -3.73 eV/atom. The density of states at the Fermi level comes out at 7.30 states/eV/f.u.

The structure belongs to space group Cmmm (No. 65); the cell edges are 11.1323, 17.7424 and 4.1026 Å and the angles 90.00°, 90.00° and 90.00°. The inequivalent atoms are Sr at (0.0000, 0.0000, 0.0000), Sr at (0.0000, 0.2242, 0.5000), Sr at (0.1506, 0.3926, 0.0000), As at (0.0000, 0.5000, 0.5000) and N at (0.0000, 0.2987, 0.0000).

No. 2
Ba2SrAg | PBE | optimized geometry

The electronic total energy comes out at -2.00 eV/atom. The energy above the most stable polymorph in this dataset is 236.9 meV per atom. The formation energy comes out at 0.09 eV/atom. The density of states at the Fermi level comes out at 6.15 states/eV/f.u.

The structure belongs to space group I4/mmm (No. 139); the cell edges are 5.4483, 5.4483 and 12.1718 Å and the angles 90.00°, 90.00° and 90.00°. The inequivalent atoms are Ba at (0.0000, 0.5000, 0.2500), Sr at (0.0000, 0.0000, 0.0000) and Ag at (0.0000, 0.0000, 0.5000).

No. 3
DyPuGaPt | PBE | optimized geometry

The electronic total energy comes out at -7.64 eV/atom. The formation energy comes out at -0.64 eV/atom. The density of states at the Fermi level comes out at 9.58 states/eV/f.u.

The structure belongs to space group F-43m (No. 216); the cell edges are 7.0950, 7.0950 and 7.0950 Å and the angles 90.00°, 90.00° and 90.00°. The inequivalent atoms are Dy at (0.0000, 0.0000, 0.0000), Pu at (0.0000, 0.0000, 0.5000), Ga at (0.2500, 0.2500, 0.2500) and Pt at (0.2500, 0.2500, 0.7500).

No. 4
Rb2Be2F7 | PBE | optimized geometry

The electronic total energy comes out at -4.87 eV/atom. The density of states at the Fermi level comes out at 1.28 states/eV/f.u.

The structure belongs to space group C2/m (No. 12); the cell edges are 7.7854, 8.7276 and 5.2110 Å and the angles 90.00°, 94.46° and 90.00°. The inequivalent atoms are Rb at (0.0000, 0.2430, 0.0000), Be at (0.2072, 0.5000, 0.5347), F at (0.0000, 0.5000, 0.5000), F at (0.2241, 0.1368, 0.6217) and F at (0.2393, 0.0000, 0.1792).